The following is a DFT calculation (GGA-PBE) of crystalline PuOsPbO6 at its relaxed geometry.

Geometry as POSCAR:
```
PuOsPbO6
1.0
5.520 0.000 0.000
-2.760 4.781 0.000
0.000 0.000 10.668
Pu Os Pb O
2 2 2 12
Cartesian
2.760 1.594 2.667
0.000 3.187 8.001
0.000 3.187 2.667
2.760 1.594 8.001
0.000 0.000 0.000
0.000 0.000 5.334
1.631 3.099 1.567
-0.892 1.819 1.567
2.021 0.137 6.901
3.652 2.962 9.101
0.892 1.819 3.767
-1.631 3.099 3.767
3.499 0.137 9.101
0.739 4.644 3.767
4.391 1.682 6.901
-0.739 4.644 1.567
1.868 2.962 6.901
1.129 1.682 9.101
```

M_tot ... 11.9 μB/cell
D(E_F) ... 20.8 states/eV/cell
Density ... 8.70 g/cm3
E ... -148.5 eV per cell

The following is a DFT calculation (GGA-PBE) of crystalline Rb2OsPbO4 at its relaxed geometry.

Geometry as POSCAR:
```
Rb2OsPbO4
1.0
5.959 0.066 0.102
-2.479 5.419 -0.102
-2.479 -2.274 4.920
Rb Os Pb O
2 1 1 4
Cartesian
0.500 3.529 1.205
0.000 0.000 0.000
-2.479 1.573 2.409
0.500 -0.317 3.715
1.921 0.700 1.931
-1.953 0.097 3.502
3.294 2.898 1.087
-1.260 2.728 3.320
```

M_tot ... 2.0 μB/cell
D(E_F) ... 4.8 states/eV/cell
Density ... 6.55 g/cm3
E ... -45.4 eV per cell